No. 1
Here is a crystal of Li2TaCu relaxed with PBEsol from Alexandria. Energies are from meta-GGA SCAN.

Output
* raw total energy: -21.438 eV/atom
* size of the total moment: 0.1 μB per formula unit
* energy of formation from the pure elements: 0.2021 eV per atom

Cell and atoms, written as CIF:
```
data_Li2TaCu
_chemical_formula_sum 'Li4 Ta2 Cu2'
_cell_length_a 3.1118
_cell_length_b 4.3135
_cell_length_c 9.3212
_cell_angle_alpha 90.00
_cell_angle_beta 90.00
_cell_angle_gamma 90.00
_symmetry_space_group_name_H-M 'C m m 2'
_symmetry_Int_Tables_number 35
_symmetry_space_group_name_Hall 'C 2 -2'
loop_
_atom_site_label
_atom_site_type_symbol
_atom_site_fract_x
_atom_site_fract_y
_atom_site_fract_z
_atom_site_occupancy
Li1 Li 0.0000 0.0000 0.0000 1
Li2 Li 0.0000 0.5000 0.2791 1
Ta1 Ta 0.0000 0.5000 0.7311 1
Cu1 Cu 0.0000 0.0000 0.4997 1
```

No. 2
Here is a crystal of LiTaCu relaxed with PBEsol from Alexandria. Energies are from meta-GGA SCAN.

Output
* raw total energy: -26.963 eV/atom
* size of the total moment: 0.0 μB per formula unit
* energy of formation from the pure elements: 1.0943 eV per atom

Cell and atoms, written as CIF:
```
data_LiTaCu
_chemical_formula_sum 'Li4 Ta4 Cu4'
_cell_length_a 5.5497
_cell_length_b 5.5497
_cell_length_c 5.5497
_cell_angle_alpha 90.00
_cell_angle_beta 90.00
_cell_angle_gamma 90.00
_symmetry_space_group_name_H-M 'F -4 3 m'
_symmetry_Int_Tables_number 216
_symmetry_space_group_name_Hall 'F -4 2 3'
loop_
_atom_site_label
_atom_site_type_symbol
_atom_site_fract_x
_atom_site_fract_y
_atom_site_fract_z
_atom_site_occupancy
Li1 Li 0.0000 0.0000 0.0000 1
Ta1 Ta 0.2500 0.2500 0.7500 1
Cu1 Cu 0.2500 0.2500 0.2500 1
```

No. 3
Here is a crystal of LiTa2Cu relaxed with PBEsol from Alexandria. Energies are from meta-GGA SCAN.

Output
* raw total energy: -37.327 eV/atom
* size of the total moment: 0.0 μB per formula unit
* energy of formation from the pure elements: 0.3616 eV per atom

Cell and atoms, written as CIF:
```
data_LiTa2Cu
_chemical_formula_sum 'Li2 Ta4 Cu2'
_cell_length_a 5.3995
_cell_length_b 7.8384
_cell_length_c 2.7865
_cell_angle_alpha 90.00
_cell_angle_beta 90.00
_cell_angle_gamma 90.00
_symmetry_space_group_name_H-M 'C m m m'
_symmetry_Int_Tables_number 65
_symmetry_space_group_name_Hall '-C 2 2'
loop_
_atom_site_label
_atom_site_type_symbol
_atom_site_fract_x
_atom_site_fract_y
_atom_site_fract_z
_atom_site_occupancy
Li1 Li 0.0000 0.0000 0.0000 1
Ta1 Ta 0.2500 0.2500 0.5000 1
Cu1 Cu 0.0000 0.5000 0.0000 1
```